# Sr2MnO4

Sr2MnO4 after structural relaxation (PBE+U, the Alexandria database).

Properties
Crystal system: tetragonal
Density: 5.212 g cm⁻³
Space-group type: I4/mmm (139)
Polymorph energy (0 for the lowest one): 0.00 eV per formula unit

abc: 3.8619 3.8619 6.8513
angles: 73.63 73.63 90.00
Closest atoms and distances in Å follow each position.
Positions (direct):
O1 0.5000 0.0000 0.0000  2 Mn 1.93
O2 0.0000 0.5000 0.0000  2 Mn 1.93
O3 0.1565 0.1565 0.6870  1 Mn 1.97
O4 0.8435 0.8435 0.3130  1 Mn 1.97
Mn1 0.0000 0.0000 0.0000  6 O 1.93-1.97
Sr1 0.6439 0.6439 0.7121  9 O 2.51-2.74
Sr2 0.3561 0.3561 0.2879  9 O 2.51-2.74